DFT (GGA-PBE) results for a geometry-optimized LiPm4Co structure. Values from VASP.

Summary:
Space group   F-43m (216)
Energy of formation from the pure elements   -0.051 eV per atom
ΔE to the lowest computed polymorph   0.000 eV per atom

Geometry as Quantum ESPRESSO input:
```
&SYSTEM
  ibrav = 0, nat = 24, ntyp = 3
/
ATOMIC_SPECIES
Li 6.94 Li.upf
Pm 145.00 Pm.upf
Co 58.93 Co.upf
CELL_PARAMETERS angstrom
0.000 6.907 6.907
6.907 0.000 6.907
6.907 6.907 0.000
ATOMIC_POSITIONS angstrom
Li 5.837 5.837 5.837
Li 7.978 7.978 5.837
Li 7.978 5.837 7.978
Li 5.837 7.978 7.978
Pm 9.058 4.756 4.756
Pm 3.454 3.454 0.847
Pm 3.454 0.847 3.454
Pm 6.060 3.454 3.454
Pm 6.907 6.907 2.570
Pm 6.907 2.570 6.907
Pm 11.245 6.907 6.907
Pm 0.847 3.454 3.454
Pm 3.454 6.060 3.454
Pm 3.454 3.454 6.060
Pm 4.756 9.058 4.756
Pm 4.756 4.756 9.058
Pm 9.058 9.058 9.058
Pm 2.570 6.907 6.907
Pm 6.907 11.245 6.907
Pm 6.907 6.907 11.245
Co 11.864 8.858 8.858
Co 8.858 11.864 8.858
Co 8.858 8.858 11.864
Co 11.864 11.864 11.864
```